Entry 1:
## K3IrF6 (PBE)

Data for an optimized crystal structure of K3IrF6.

Output
Fermi-level density of states, states/eV/cell: 0.00
M_tot, μB per formula unit: 0.2
Formation energy (no corrections), eV/atom: -2.286

Unit cell a=6.1262 b=6.2075 c=6.2515 alpha=62.92 beta=62.93 gamma=62.74
Positions (direct):
K  0.0000  0.0000  0.0000
K  0.2594  0.2610  0.2693
K  0.7406  0.7390  0.7307
Ir  0.5000  0.5000  0.5000
F  0.1929  0.3642  0.6928
F  0.2812  0.8067  0.6314
F  0.3796  0.7006  0.1870
F  0.6204  0.2994  0.8130
F  0.7188  0.1933  0.3686
F  0.8071  0.6358  0.3072



Entry 2:
## YBiAu (PBE)

Data for an optimized crystal structure of YBiAu.

Output
Fermi-level density of states, states/eV/cell: 1.50
M_tot, μB per formula unit: 0.0
Formation energy, kcal/mol of atoms: -14.34

Unit cell a=4.6392 b=4.6392 c=4.3307 alpha=90.00 beta=90.00 gamma=120.00
Positions (direct):
Y  0.0000  0.0000  0.0000
Bi  0.3333  0.6667  0.5540
Au  0.6667  0.3333  0.2970



Entry 3:
## CdInOs2 (PBE)

Data for an optimized crystal structure of CdInOs2.

Output
Fermi-level density of states, states/eV/cell: 1.67
M_tot, μB per formula unit: 0.0
Formation energy, kcal/mol of atoms: 5.48

Unit cell a=2.8773 b=8.6995 c=8.6995 alpha=19.40 beta=90.00 gamma=90.00
Positions (direct):
Cd  0.0000  0.0000  0.0000
In  0.5000  0.8402  0.8402
Os  0.0000  0.2171  0.2171
Os  0.5000  0.6241  0.6241



Entry 4:
## NaTbAgPt (PBE)

Data for an optimized crystal structure of NaTbAgPt.

Output
Fermi-level density of states, states/eV/cell: 2.54
M_tot, μB per formula unit: 0.0
Formation energy, kcal/mol of atoms: -10.27

Unit cell a=4.9368 b=4.9368 c=4.9368 alpha=60.00 beta=60.00 gamma=60.00
Positions (direct):
Na  0.0000  0.0000  0.0000
Tb  0.5000  0.5000  0.5000
Ag  0.7500  0.7500  0.7500
Pt  0.2500  0.2500  0.2500



Entry 5:
## HfNi2Ge (PBE)

Data for an optimized crystal structure of HfNi2Ge.

Output
Fermi-level density of states, states/eV/cell: 3.38
M_tot, μB per formula unit: 0.0
Formation energy, kcal/mol of atoms: -8.69

Unit cell a=3.1010 b=3.9189 c=5.0433 alpha=90.00 beta=90.00 gamma=90.00
Positions (direct):
Hf  0.0000  0.0000  0.0000
Ni  0.5000  0.5000  0.2399
Ni  0.5000  0.5000  0.7601
Ge  0.5000  0.0000  0.5000



Entry 6:
## Ti9In11Cu4 (PBE)

Data for an optimized crystal structure of Ti9In11Cu4.

Output
Fermi-level density of states, states/eV/cell: 19.66
M_tot, μB per formula unit: 0.9
Formation energy, kcal/mol of atoms: -0.61

Unit cell a=12.3095 b=12.3095 c=3.1439 alpha=90.00 beta=90.00 gamma=110.67
Positions (direct):
Ti  0.0000  0.0000  0.0000
Ti  0.1435  0.6588  0.0000
Ti  0.2832  0.4251  0.0000
Ti  0.3412  0.8565  0.0000
Ti  0.4251  0.2832  0.0000
Ti  0.5749  0.7168  0.0000
Ti  0.6588  0.1435  0.0000
Ti  0.7168  0.5749  0.0000
Ti  0.8565  0.3412  0.0000
In  0.0832  0.4361  0.5000
In  0.1342  0.8658  0.5000
In  0.1996  0.1996  0.5000
In  0.3463  0.6537  0.5000
In  0.4361  0.0832  0.5000
In  0.5000  0.5000  0.5000
In  0.5639  0.9168  0.5000
In  0.6537  0.3463  0.5000
In  0.8004  0.8004  0.5000
In  0.8658  0.1342  0.5000
In  0.9168  0.5639  0.5000
Cu  0.0465  0.2497  0.0000
Cu  0.2497  0.0465  0.0000
Cu  0.7503  0.9535  0.0000
Cu  0.9535  0.7503  0.0000



Entry 7:
## LiYCd (PBE)

Data for an optimized crystal structure of LiYCd.

Output
Fermi-level density of states, states/eV/cell: 1.67
M_tot, μB per formula unit: 0.3
Formation energy, kcal/mol of atoms: -3.39
ΔE to the lowest computed polymorph, eV per atom: 0.040

Unit cell a=5.6972 b=5.6972 c=5.6972 alpha=141.60 beta=141.60 gamma=55.43
Positions (direct):
Li  0.0000  0.0000  0.0000
Y  0.6872  0.6872  0.0000
Cd  0.3671  0.3671  0.0000



Entry 8:
## RbTmIrO6 (PBE)

Data for an optimized crystal structure of RbTmIrO6.

Output
Fermi-level density of states, states/eV/cell: 5.23
M_tot, μB per formula unit: 0.7
Formation energy (no corrections), eV/atom: -1.484

Unit cell a=5.5757 b=5.5757 c=6.2277 alpha=90.00 beta=90.00 gamma=120.00
Positions (direct):
Rb  0.0000  0.0000  0.0000
Tm  0.6667  0.3333  0.5000
Ir  0.3333  0.6667  0.5000
O  0.0419  0.4033  0.3248
O  0.0419  0.6386  0.6752
O  0.3614  0.4033  0.6752
O  0.3614  0.9581  0.3248
O  0.5967  0.6386  0.3248
O  0.5967  0.9581  0.6752